Entry from the Alexandria database: a relaxed Be2CoHAu crystal (PBE).

Properties
- Electronic total energy: -21.65 eV per cell

Cell lengths 3.790, 3.790, 3.203 Å; angles 90.00, 90.00, 90.00 degrees
Fractional positions:
Au1 0.500 0.500 0.500
Co1 0.000 0.000 0.500
Be1 0.500 0.000 0.000
Be2 0.000 0.500 0.000
H1 0.000 0.000 0.000